Model a:
## CdCuNi2H (GGA-PBE)

Data for a geometry-optimized CdCuNi2H structure.

The structure belongs to space group P4/mmm (No. 123); the cell edges are 3.788, 3.788 and 3.828 Å and the angles 90.00°, 90.00° and 90.00°. The distinct sites, in fractional coordinates, are Cd at (0.000, 0.000, 0.000), Cu at (0.500, 0.500, 0.000), Ni at (0.000, 0.500, 0.500) and H at (0.500, 0.500, 0.500).

The value obtained for the volume is 10.985 A^3/atom.

---

Model b:
## CdCuNi2H (GGA-PBE)

Data for a geometry-optimized CdCuNi2H structure.

The structure belongs to space group P4/mmm (No. 123); the cell edges are 3.679, 3.679 and 4.146 Å and the angles 90.00°, 90.00° and 90.00°. The distinct sites, in fractional coordinates, are Cd at (0.000, 0.000, 0.000), Cu at (0.500, 0.500, 0.000), Ni at (0.000, 0.500, 0.500) and H at (0.000, 0.000, 0.500).

The value obtained for the volume is 11.222 A^3/atom.

---

Stability check: which of them is least stable? model b.

---

Model a:
## Cd2CuHPd (GGA-PBE)

Data for a geometry-optimized Cd2CuHPd structure.

The structure belongs to space group P4/mmm (No. 123); the cell edges are 4.673, 4.673 and 3.320 Å and the angles 90.00°, 90.00° and 90.00°. The distinct sites, in fractional coordinates, are Cd at (0.000, 0.500, 0.000), Cu at (0.000, 0.000, 0.500), H at (0.000, 0.000, 0.000) and Pd at (0.500, 0.500, 0.500).

The value obtained for the volume is 14.501 A^3/atom.

---

Model b:
## Cd2CuHPd (GGA-PBE)

Data for a geometry-optimized Cd2CuHPd structure.

The structure belongs to space group P4/mmm (No. 123); the cell edges are 4.677, 4.677 and 3.403 Å and the angles 90.00°, 90.00° and 90.00°. The distinct sites, in fractional coordinates, are Cd at (0.000, 0.500, 0.000), Cu at (0.000, 0.000, 0.500), H at (0.500, 0.500, 0.000) and Pd at (0.500, 0.500, 0.500).

The value obtained for the volume is 14.887 A^3/atom.

---

Stability check: which of them is least stable? model b.